First-principles (PBE) data for an optimized crystal structure of YAlTl2, as listed in Alexandria. Values from VASP.

Its space group is Imm2, No. 44. Its total energy is -15.5 eV per formula unit. The calculation puts the density of states at the Fermi level at 2.3 states/eV/f.u.

The structure in Quantum ESPRESSO input format:
```
&SYSTEM
  ibrav = 0, nat = 4, ntyp = 3
/
ATOMIC_SPECIES
Y 88.91 Y.upf
Tl 204.38 Tl.upf
Al 26.98 Al.upf
ATOMIC_POSITIONS crystal
Y 0.5016 0.5016 0.4983
Tl 0.9979 0.9979 0.0021
Tl 0.7499 0.7499 0.7502
Al 0.2506 0.2506 0.2494
CELL_PARAMETERS angstrom
5.8841 -0.1139 0.0535
4.2461 4.0751 0.0535
1.7006 0.6650 4.1188
```

---

First-principles (PBE) data for an optimized crystal structure of IrPtAu2, as listed in Alexandria. Values from VASP.

Its space group is P4/mmm, No. 123. Its total energy is -20.2 eV per formula unit. The calculation puts the density of states at the Fermi level at 4.8 states/eV/f.u.

The structure in Quantum ESPRESSO input format:
```
&SYSTEM
  ibrav = 0, nat = 4, ntyp = 3
/
ATOMIC_SPECIES
Au 196.97 Au.upf
Ir 192.22 Ir.upf
Pt 195.08 Pt.upf
ATOMIC_POSITIONS crystal
Au 0.0000 0.0000 0.0030
Au 0.0000 0.0000 0.4970
Ir 0.5000 0.5000 0.2500
Pt 0.5000 0.5000 0.7500
CELL_PARAMETERS angstrom
2.8070 0.0000 0.0000
0.0000 2.8070 0.0000
0.0000 0.0000 8.3850
```

---

| no. | energy of formation from the pure elements (meV/atom) | polymorph energy (0 for the lowest one) (kJ/mol of formula units) |
| --- | --- | --- |
| 1 | -142 | 27 |
| 2 | 313 | 57 |